[1]
Here is a PBEsol-optimized structure of V2ZnP2O9 from Alexandria. Energies are from SCAN.

Summary:
As for the energy relative to the elements, uncorrected: -234 kJ/mol of atoms.

a b c (Å): 14.021 6.191 7.343
angles (deg): 90.00 90.00 90.00
Space group Pnma (No. 62)
Inequivalent atoms, fractional coordinates:
V1 0.000 0.000 0.000 [4 per cell]
V2 0.119 0.250 0.350 [4 per cell]
Zn1 0.227 0.250 0.933 [4 per cell]
P1 0.071 0.750 0.362 [4 per cell]
P2 0.195 0.750 0.886 [4 per cell]
O1 0.007 0.250 0.499 [4 per cell]
O2 0.025 0.750 0.169 [4 per cell]
O3 0.050 0.250 0.138 [4 per cell]
O4 0.136 0.536 0.895 [8 per cell]
O5 0.142 0.560 0.376 [8 per cell]
O6 0.229 0.250 0.537 [4 per cell]
O7 0.245 0.250 0.205 [4 per cell]

[2]
Here is a PBEsol-optimized structure of NaGa2Si2 from Alexandria. Energies are from SCAN.

Summary:
Its energy above the most stable polymorph in this dataset is 0.000 eV/atom. As for the energy relative to the elements, uncorrected: 0 kJ/mol of atoms.

a b c (Å): 4.453 4.453 9.649
angles (deg): 90.00 90.00 90.00
Space group I4/mmm (No. 139)
Inequivalent atoms, fractional coordinates:
Na1 0.000 0.000 0.000 [2 per cell]
Ga1 0.000 0.500 0.250 [4 per cell]
Si1 0.000 0.000 0.378 [4 per cell]

[3]
Here is a PBEsol-optimized structure of YAsIrBr2 from Alexandria. Energies are from SCAN.

Summary:
As for the energy relative to the elements, uncorrected: 39 kJ/mol of atoms.

a b c (Å): 5.201 5.201 5.786
angles (deg): 90.00 90.00 90.00
Space group P4/mmm (No. 123)
Inequivalent atoms, fractional coordinates:
Y1 0.000 0.000 0.000 [1 per cell]
As1 0.000 0.000 0.500 [1 per cell]
Ir1 0.500 0.500 0.500 [1 per cell]
Br1 0.000 0.500 0.000 [2 per cell]

[4]
Here is a PBEsol-optimized structure of TaSi2Os from Alexandria. Energies are from SCAN.

Summary:
As for the energy relative to the elements, uncorrected: -10 kJ/mol of atoms.

a b c (Å): 3.682 3.682 8.325
angles (deg): 90.00 90.00 90.00
Space group I-4m2 (No. 119)
Inequivalent atoms, fractional coordinates:
Ta1 0.000 0.000 0.000 [2 per cell]
Si1 0.000 0.000 0.500 [2 per cell]
Si2 0.000 0.500 0.750 [2 per cell]
Os1 0.000 0.500 0.250 [2 per cell]

[5]
Here is a PBEsol-optimized structure of Cd2SiNi from Alexandria. Energies are from SCAN.

Summary:
As for the energy relative to the elements, uncorrected: 30 kJ/mol of atoms.

a b c (Å): 3.977 3.977 8.086
angles (deg): 90.00 90.00 90.00
Space group I-4m2 (No. 119)
Inequivalent atoms, fractional coordinates:
Cd1 0.000 0.000 0.000 [2 per cell]
Cd2 0.000 0.500 0.250 [2 per cell]
Si1 0.000 0.500 0.750 [2 per cell]
Ni1 0.000 0.000 0.500 [2 per cell]

[6]
Here is a PBEsol-optimized structure of KLiPb2 from Alexandria. Energies are from SCAN.

Summary:
Its energy above the most stable polymorph in this dataset is 0.159 eV/atom.

a b c (Å): 3.511 5.862 11.147
angles (deg): 90.00 90.00 90.00
Space group Immm (No. 71)
Inequivalent atoms, fractional coordinates:
K1 0.000 0.000 0.000 [2 per cell]
Li1 0.000 0.000 0.500 [2 per cell]
Pb1 0.000 0.500 0.215 [4 per cell]

[7]
Here is a PBEsol-optimized structure of CaSiOs2 from Alexandria. Energies are from SCAN.

Summary:
As for the energy relative to the elements, uncorrected: 17 kJ/mol of atoms.

a b c (Å): 10.494 2.867 5.049
angles (deg): 90.00 114.10 90.00
Space group Cm (No. 8)
Inequivalent atoms, fractional coordinates:
Ca1 0.000 0.000 0.000 [2 per cell]
Si1 0.306 0.500 0.307 [2 per cell]
Os1 0.010 0.500 0.519 [2 per cell]
Os2 0.226 0.000 0.592 [2 per cell]

[8]
Here is a PBEsol-optimized structure of La2PtPb from Alexandria. Energies are from SCAN.

a b c (Å): 4.472 4.472 10.298
angles (deg): 90.00 90.00 90.00
Space group I-4m2 (No. 119)
Inequivalent atoms, fractional coordinates:
La1 0.000 0.000 0.000 [2 per cell]
La2 0.000 0.500 0.250 [2 per cell]
Pt1 0.000 0.500 0.750 [2 per cell]
Pb1 0.000 0.000 0.500 [2 per cell]

[9]
Here is a PBEsol-optimized structure of Sr2TaRh from Alexandria. Energies are from SCAN.

Summary:
Its energy above the most stable polymorph in this dataset is 0.000 eV/atom.

a b c (Å): 4.114 4.114 5.256
angles (deg): 90.00 90.00 90.00
Space group P4/mmm (No. 123)
Inequivalent atoms, fractional coordinates:
Sr1 0.000 0.500 0.000 [2 per cell]
Ta1 0.000 0.000 0.500 [1 per cell]
Rh1 0.500 0.500 0.500 [1 per cell]

[10]
Here is a PBEsol-optimized structure of HfBeCdRe2 from Alexandria. Energies are from SCAN.

a b c (Å): 4.856 4.856 3.928
angles (deg): 90.00 90.00 90.00
Space group P4/mmm (No. 123)
Inequivalent atoms, fractional coordinates:
Hf1 0.000 0.000 0.000 [1 per cell]
Be1 0.500 0.500 0.000 [1 per cell]
Cd1 0.500 0.500 0.500 [1 per cell]
Re1 0.000 0.500 0.500 [2 per cell]

[11]
Here is a PBEsol-optimized structure of TiGaCuCl2 from Alexandria. Energies are from SCAN.

Summary:
As for the energy relative to the elements, uncorrected: -13 kJ/mol of atoms.

a b c (Å): 4.526 4.526 5.524
angles (deg): 90.00 90.00 90.00
Space group P4/mmm (No. 123)
Inequivalent atoms, fractional coordinates:
Ti1 0.000 0.000 0.000 [1 per cell]
Ga1 0.000 0.000 0.500 [1 per cell]
Cu1 0.500 0.500 0.500 [1 per cell]
Cl1 0.000 0.500 0.000 [2 per cell]

[12]
Here is a PBEsol-optimized structure of CaAlSeS2 from Alexandria. Energies are from SCAN.

Summary:
As for the energy relative to the elements, uncorrected: -66 kJ/mol of atoms.

a b c (Å): 4.314 4.314 11.614
angles (deg): 90.00 90.00 90.00
Space group P4/mmm (No. 123)
Inequivalent atoms, fractional coordinates:
Ca1 0.000 0.000 0.000 [1 per cell]
Al1 0.000 0.000 0.500 [1 per cell]
Se1 0.500 0.500 0.000 [1 per cell]
S1 0.000 0.500 0.500 [2 per cell]

Number 1: total magnetization 16.000 Bohr magnetons per cell, DOS(E_F) 0.033 states/eV per atom, electronic total energy -11.38 eV per atom. Number 2: total magnetization 0.000 Bohr magnetons per cell, DOS(E_F) 0.197 states/eV per atom, electronic total energy -11.39 eV per atom. Number 3: total magnetization 1.729 Bohr magnetons per cell, DOS(E_F) 0.484 states/eV per atom, electronic total energy -31.21 eV per atom. Number 4: total magnetization 0.000 Bohr magnetons per cell, DOS(E_F) 0.673 states/eV per atom, electronic total energy -39.73 eV per atom. Number 5: total magnetization 0.000 Bohr magnetons per cell, DOS(E_F) 0.615 states/eV per atom, electronic total energy -21.44 eV per atom. Number 6: total magnetization 0.000 Bohr magnetons per cell, DOS(E_F) 0.390 states/eV per atom, electronic total energy -40.77 eV per atom. Number 7: total magnetization 0.000 Bohr magnetons per cell, DOS(E_F) 0.450 states/eV per atom, electronic total energy -40.68 eV per atom. Number 8: total magnetization 0.000 Bohr magnetons per cell, DOS(E_F) 0.533 states/eV per atom, electronic total energy -58.89 eV per atom. Number 9: total magnetization 0.000 Bohr magnetons per cell, DOS(E_F) 0.799 states/eV per atom, electronic total energy -35.42 eV per atom. Number 10: total magnetization 1.018 Bohr magnetons per cell, DOS(E_F) 0.605 states/eV per atom, electronic total energy -46.16 eV per atom. Number 11: total magnetization 1.093 Bohr magnetons per cell, DOS(E_F) 0.451 states/eV per atom, electronic total energy -12.84 eV per atom. Number 12: total magnetization 0.000 Bohr magnetons per cell, DOS(E_F) 0.495 states/eV per atom, electronic total energy -12.03 eV per atom.